1.
Entry from Alexandria: a geometry-optimized InReBi3 structure (PBE).

Unit cell a=5.393 b=5.393 c=5.393 alpha=90.00 beta=90.00 gamma=90.00
Space group Pm-3m (No. 221)
One atom of each set of equivalent atoms:
In 0.000 0.000 0.000
Re 0.500 0.500 0.500
Bi 0.000 0.500 0.500

DFT formation energy	711.6	meV/atom
M_tot	0.00	Bohr magnetons per cell
total energy	-4.654	eV per atom
density of states at the Fermi level	5.25	states/eV/f.u.



2.
Entry from Alexandria: a geometry-optimized In2ReBiRu structure (PBE).

Unit cell a=5.098 b=5.098 c=4.782 alpha=90.00 beta=90.00 gamma=90.00
Space group P4/mmm (No. 123)
One atom of each set of equivalent atoms:
In 0.000 0.500 0.000
Re 0.000 0.000 0.500
Bi 0.500 0.500 0.500
Ru 0.000 0.000 0.000

DFT formation energy	840.4	meV/atom
M_tot	0.76	Bohr magnetons per cell
total energy	-5.376	eV per atom
density of states at the Fermi level	3.33	states/eV/f.u.



3.
Entry from Alexandria: a geometry-optimized SrInReBi2 structure (PBE).

Unit cell a=5.695 b=5.695 c=6.136 alpha=90.00 beta=90.00 gamma=90.00
Space group P4/mmm (No. 123)
One atom of each set of equivalent atoms:
Sr 0.000 0.000 0.000
In 0.000 0.000 0.500
Re 0.500 0.500 0.000
Bi 0.000 0.500 0.500

DFT formation energy	1444.6	meV/atom
M_tot	4.38	Bohr magnetons per cell
total energy	-3.481	eV per atom
density of states at the Fermi level	4.17	states/eV/f.u.



The lowest M_tot belongs to which entry?
InReBi3



What is the DFT formation energy in the third record?
1444.6 meV/atom